No. 1
{"formula": "TlIn2IrO8", "functional": "GGA-PBE", "state": "relaxed", "space_group": "P2/m, No. 10", "raw_formation_energy_ev_per_fu": -10.9, "dos_at_fermi_per_ev_cell": 6.4, "lattice": [[-3.155, -3.612, 0.797], [2.610, -1.178, 3.902], [-3.817, 4.176, 3.814]], "species": ["Tl", "In", "In", "Ir", "O", "O", "O", "O", "O", "O", "O", "O"], "frac_coords": [[0.000, 0.000, 0.500], [0.500, 0.500, 0.754], [0.500, 0.500, 0.246], [0.000, 0.000, 0.000], [0.184, 0.810, 0.207], [0.711, 0.716, 0.000], [0.816, 0.190, 0.207], [0.816, 0.190, 0.793], [0.289, 0.284, 0.000], [0.184, 0.810, 0.793], [0.686, 0.691, 0.500], [0.314, 0.309, 0.500]]}

No. 2
{"formula": "Tl2In2IrO6", "functional": "GGA-PBE", "state": "relaxed", "space_group": "C2/m, No. 12", "raw_formation_energy_ev_per_fu": -11.3, "dos_at_fermi_per_ev_cell": 4.3, "lattice": [[-4.952, -1.051, 2.606], [2.521, -4.118, -3.018], [3.944, -0.327, 5.418]], "species": ["Tl", "Tl", "In", "In", "Ir", "O", "O", "O", "O", "O", "O"], "frac_coords": [[0.834, 0.166, 0.000], [0.166, 0.834, 0.000], [0.335, 0.665, 0.500], [0.665, 0.335, 0.500], [0.000, 0.000, 0.500], [0.747, 0.747, 0.666], [0.049, 0.358, 0.661], [0.253, 0.253, 0.334], [0.358, 0.049, 0.661], [0.951, 0.642, 0.339], [0.642, 0.951, 0.339]]}

No. 3
{"formula": "TmIn2IrO8", "functional": "GGA-PBE", "state": "relaxed", "space_group": "P2/m, No. 10", "raw_formation_energy_ev_per_fu": -18.2, "dos_at_fermi_per_ev_cell": 6.5, "lattice": [[4.942, -0.063, -0.003], [-0.041, 4.927, -0.005], [0.004, 0.007, 6.574]], "species": ["Tm", "In", "In", "Ir", "O", "O", "O", "O", "O", "O", "O", "O"], "frac_coords": [[0.000, 0.000, 0.500], [0.500, 0.500, 0.749], [0.500, 0.500, 0.251], [0.000, 0.000, 0.000], [0.183, 0.813, 0.215], [0.716, 0.719, 0.000], [0.817, 0.187, 0.215], [0.817, 0.187, 0.785], [0.284, 0.281, 0.000], [0.183, 0.813, 0.785], [0.691, 0.695, 0.500], [0.309, 0.305, 0.500]]}

| no. | raw total energy (eV per atom) |
| --- | --- |
| 1 | -5.609 |
| 2 | -5.468 |
| 3 | -6.385 |